Compound: NdWO4F
Source: Alexandria
Functional: PBE with a Hubbard U
Structure: optimized geometry

Cell: 9.9250 7.6307 7.1956 Å, 90.00 108.13 90.00°
Closest atoms and distances in Å follow each position.
Space group C2/m (No. 12)
Unique sites:
Nd: 0.2045 0.0000 0.1088 [4 per cell]  2 F 2.31-2.34, 4 O 2.42-2.43
W: 0.1515 0.5000 0.2784 [4 per cell]  4 O 1.80-1.83
O: 0.0383 0.5000 0.7786 [4 per cell]  1 W 1.80
O: 0.2072 0.3145 0.1586 [8 per cell]  1 W 1.83
O: 0.2358 0.5000 0.5385 [4 per cell]  1 W 1.80
F: 0.0126 0.0000 0.8273 [4 per cell]  2 Nd 2.31-2.34, 1 F 2.57

Calculated values
N(E_F) (states/eV/atom): 0.000
Density (Mg/m³): 5.272
V (A^3/atom): 18.50
VASP energy (eV per formula unit): -52.98
Total magnetic moment (μB per formula unit): 0.00